(1)
A plane-wave DFT calculation with GGA-PBE was carried out for a relaxed PmSn2Ge crystal.

Computed properties:
- Crystal system: trigonal
- Formation energy from the elements: -0.8 eV/f.u.
- Energy above the most stable polymorph in this dataset: 249.4 meV per atom
- V: 108 Å³/cell
- Magnetic moment: 0.0 μB/cell

Structure (POSCAR):
```
PmSn2Ge
1.0
-0.174 0.362 -4.944
-2.163 -3.575 -2.675
-5.213 1.362 -2.206
Ge Sn Pm
1 2 1
Direct
0.000 0.000 0.000
0.722 0.722 0.834
0.278 0.278 0.166
0.500 0.500 0.500
```

(2)
A plane-wave DFT calculation with GGA-PBE was carried out for a relaxed Pm2SnGe crystal.

Computed properties:
- Crystal system: monoclinic
- Formation energy from the elements: -3.2 eV/f.u.
- V: 218 Å³/cell
- Magnetic moment: 0.0 μB/cell

Structure (POSCAR):
```
Pm2SnGe
1.0
-1.510 -1.577 -3.577
4.000 -4.652 0.363
-7.883 -1.924 4.175
Pm Sn Ge
4 2 2
Direct
0.750 0.230 0.423
0.250 0.770 0.577
0.250 0.779 0.061
0.750 0.221 0.939
0.750 0.670 0.291
0.250 0.330 0.709
0.250 0.322 0.205
0.750 0.678 0.795
```

Question: What is the V in the first record?
Answer: 108 Å³/cell